(1)
Entry from the Alexandria database: ReSe after structural relaxation (PBE).

Its size of the total moment is 0.000 μB per atom. For the uncorrected formation energy, the calculation gives 0.692 eV/atom. The calculation puts the total energy at -58.2 eV for the cell shown. As for the crystal system: tetragonal. The energy relative to the lowest polymorph listed for this composition is 1.64 eV/f.u.

It has space group P4_2/mnm (No. 136), with a = 7.568 Å, b = 7.568 Å, c = 3.016 Å, α = 90.00°, β = 90.00° and γ = 90.00°. The inequivalent atoms are Re at (0.131, 0.131, 0.000) and Se at (0.188, 0.812, 0.000).



(2)
Entry from the Alexandria database: ReSe after structural relaxation (PBE).

Its size of the total moment is 0.000 μB per atom. For the uncorrected formation energy, the calculation gives 0.611 eV/atom. The calculation puts the total energy at -29.4 eV for the cell shown. As for the crystal system: hexagonal. The energy relative to the lowest polymorph listed for this composition is 1.48 eV/f.u.

It has space group P6_3/mmc (No. 194), with a = 4.0305 Å, b = 4.0305 Å, c = 5.0949 Å, α = 90.00°, β = 90.00° and γ = 120.00°. The inequivalent atoms are Re at (0.0000, 0.0000, 0.0000) and Se at (0.3333, 0.6667, 0.2500).



(3)
Entry from the Alexandria database: ReSe after structural relaxation (PBE).

Its size of the total moment is 0.000 μB per atom. For the uncorrected formation energy, the calculation gives -0.005 eV/atom. The calculation puts the total energy at -127.5 eV for the cell shown. As for the crystal system: monoclinic. The energy relative to the lowest polymorph listed for this composition is 0.25 eV/f.u.

It has space group Cm (No. 8), with a = 18.511 Å, b = 5.795 Å, c = 2.964 Å, α = 90.00°, β = 90.38° and γ = 90.00°. The inequivalent atoms are Re at (0.000, 0.000, 0.000), Re at (0.000, 0.500, 0.000), Re at (0.091, 0.247, 0.504), Se at (0.179, 0.000, 0.008), Se at (0.203, 0.500, 0.508) and Se at (0.389, 0.250, 0.995).



(4)
Entry from the Alexandria database: Re4Se5 after structural relaxation (PBE).

Its size of the total moment is 0.000 μB per atom. For the uncorrected formation energy, the calculation gives 0.813 eV/atom. The calculation puts the total energy at -119.8 eV for the cell shown. As for the crystal system: hexagonal. The energy relative to the lowest polymorph listed for this composition is 0.46 eV/f.u.

It has space group P6_3/mcm (No. 193), with a = 7.5055 Å, b = 7.5055 Å, c = 6.1674 Å, α = 90.00°, β = 90.00° and γ = 120.00°. The inequivalent atoms are Re at (0.0000, 0.0000, 0.0000), Re at (0.0000, 0.3562, 0.2500), Se at (0.0000, 0.2892, 0.7500) and Se at (0.3333, 0.6667, 0.0000).



(5)
Entry from the Alexandria database: ReSe after structural relaxation (PBE).

Its size of the total moment is 0.000 μB per atom. For the uncorrected formation energy, the calculation gives 0.267 eV/atom. The calculation puts the total energy at -92.4 eV for the cell shown. As for the crystal system: monoclinic. The energy relative to the lowest polymorph listed for this composition is 0.79 eV/f.u.

It has space group Cm (No. 8), with a = 13.571 Å, b = 3.023 Å, c = 5.994 Å, α = 90.00°, β = 110.83° and γ = 90.00°. The inequivalent atoms are Re at (0.000, 0.000, 0.000), Re at (0.048, 0.000, 0.595), Re at (0.391, 0.000, 0.642), Se at (0.147, 0.500, 0.939), Se at (0.230, 0.500, 0.506) and Se at (0.424, 0.000, 0.235).



(6)
Entry from the Alexandria database: ReSe after structural relaxation (PBE).

Its size of the total moment is 0.000 μB per atom. For the uncorrected formation energy, the calculation gives 0.564 eV/atom. The calculation puts the total energy at -88.8 eV for the cell shown. As for the crystal system: trigonal. The energy relative to the lowest polymorph listed for this composition is 1.38 eV/f.u.

It has space group R-3m (No. 166, hexagonal axes), with a = 4.0536 Å, b = 4.0536 Å, c = 17.6814 Å, α = 90.00°, β = 90.00° and γ = 120.00°. The inequivalent atoms are Re at (0.0000, 0.0000, 0.1484) and Se at (0.0000, 0.0000, 0.4009).



(7)
Entry from the Alexandria database: Re4Se after structural relaxation (PBE).

Its size of the total moment is 0.001 μB per atom. For the uncorrected formation energy, the calculation gives 1.654 eV/atom. The calculation puts the total energy at -90.0 eV for the cell shown. As for the crystal system: cubic. The energy relative to the lowest polymorph listed for this composition is 5.62 eV/f.u.

It has space group Im-3m (No. 229), with a = 5.606 Å, b = 5.606 Å, c = 5.606 Å, α = 90.00°, β = 90.00° and γ = 90.00°. The inequivalent atoms are Re at (0.250, 0.250, 0.250) and Se at (0.000, 0.000, 0.000).



(8)
Entry from the Alexandria database: ReSe after structural relaxation (PBE).

Its size of the total moment is 0.000 μB per atom. For the uncorrected formation energy, the calculation gives 0.040 eV/atom. The calculation puts the total energy at -31.7 eV for the cell shown. As for the crystal system: tetragonal. The energy relative to the lowest polymorph listed for this composition is 0.34 eV/f.u.

It has space group P4/nmm (No. 129, origin choice 2), with a = 2.958 Å, b = 2.958 Å, c = 8.402 Å, α = 90.00°, β = 90.00° and γ = 90.00°. The inequivalent atoms are Re at (0.250, 0.250, 0.114) and Se at (0.250, 0.250, 0.703).



Look up the energy relative to the lowest polymorph listed for this composition of the second one.
1.48 eV/f.u.